Record 1
Computed, not measured: an optimized crystal structure of Fe2Ir2Rh at the GGA-PBE level of DFT.

Cell lengths 7.121, 7.121, 2.664 Å; angles 90.00, 90.00, 90.00 degrees
Sites, in units of the cell vectors:
Rh1 0.000 0.000 0.000
Rh2 0.500 0.500 0.000
Fe1 0.333 0.167 0.500
Fe2 0.667 0.833 0.500
Fe3 0.167 0.667 0.500
Fe4 0.833 0.333 0.500
Ir1 0.870 0.630 0.000
Ir2 0.630 0.130 0.000
Ir3 0.130 0.370 0.000
Ir4 0.370 0.870 0.000

Output
E_form: 0.26 eV/atom
total DFT energy (no corrections): -81.4 eV/cell

=====

Record 2
Computed, not measured: an optimized crystal structure of K3TaZn2O6 at the GGA-PBE level of DFT.

Cell lengths 5.999, 5.999, 6.897 Å; angles 90.00, 90.00, 120.00 degrees
Sites, in units of the cell vectors:
O1 0.153 0.847 0.321
O2 0.693 0.847 0.321
O3 0.153 0.307 0.321
O4 0.847 0.693 0.679
O5 0.847 0.153 0.679
O6 0.307 0.153 0.679
K1 0.333 0.667 0.733
K2 0.667 0.333 0.267
K3 0.000 0.000 0.000
Zn1 0.333 0.667 0.309
Zn2 0.667 0.333 0.691
Ta1 0.000 0.000 0.500

Output
uncorrected formation energy: -1.837 eV/atom
total DFT energy (no corrections): -69.5 eV/cell

=====

Record 3
Computed, not measured: an optimized crystal structure of Sr3TaAs4 at the GGA-PBE level of DFT.

Cell lengths 8.903, 9.688, 10.645 Å; angles 90.00, 90.00, 90.00 degrees
Sites, in units of the cell vectors:
Sr1 0.133 0.080 0.250
Sr2 0.367 0.580 0.750
Sr3 0.867 0.920 0.750
Sr4 0.633 0.420 0.250
Sr5 0.558 0.194 0.949
Sr6 0.058 0.306 0.551
Sr7 0.442 0.806 0.449
Sr8 0.558 0.194 0.551
Sr9 0.942 0.694 0.051
Sr10 0.942 0.694 0.449
Sr11 0.442 0.806 0.051
Sr12 0.058 0.306 0.949
As1 0.145 0.981 0.540
As2 0.855 0.019 0.040
As3 0.510 0.902 0.750
As4 0.186 0.768 0.250
As5 0.990 0.402 0.250
As6 0.010 0.598 0.750
As7 0.314 0.268 0.750
As8 0.355 0.481 0.460
As9 0.686 0.732 0.250
As10 0.855 0.019 0.460
As11 0.645 0.519 0.960
As12 0.355 0.481 0.040
As13 0.145 0.981 0.960
As14 0.645 0.519 0.540
As15 0.490 0.098 0.250
As16 0.814 0.232 0.750
Ta1 0.265 0.022 0.750
Ta2 0.735 0.978 0.250
Ta3 0.765 0.478 0.750
Ta4 0.235 0.522 0.250

Output
E_form: -0.89 eV/atom
total DFT energy (no corrections): -170.5 eV/cell

=====

Record 4
Computed, not measured: an optimized crystal structure of NaSm2Te6Pb3 at the GGA-PBE level of DFT.

Cell lengths 4.506, 9.297, 10.290 Å; angles 104.05, 102.65, 90.00 degrees
Sites, in units of the cell vectors:
Na1 0.500 0.000 0.000
Pb1 0.500 0.500 0.000
Pb2 0.158 0.850 0.315
Pb3 0.842 0.150 0.685
Te1 0.670 0.588 0.339
Te2 0.330 0.412 0.661
Te3 0.007 0.252 0.014
Te4 0.674 0.106 0.348
Te5 0.993 0.748 0.986
Te6 0.326 0.894 0.652
Sm1 0.832 0.654 0.665
Sm2 0.168 0.346 0.335

Output
uncorrected formation energy: -0.818 eV/atom
total DFT energy (no corrections): -50.5 eV/cell

=====

Record 5
Computed, not measured: an optimized crystal structure of Nb3RuW2 at the GGA-PBE level of DFT.

Cell lengths 4.566, 7.212, 6.440 Å; angles 90.00, 90.00, 71.54 degrees
Sites, in units of the cell vectors:
W1 0.667 0.665 0.500
W2 0.333 0.335 0.500
W3 0.000 0.000 0.500
W4 0.000 0.000 0.000
Nb1 0.500 0.000 0.250
Nb2 0.167 0.666 0.750
Nb3 0.500 0.000 0.750
Nb4 0.167 0.666 0.250
Nb5 0.833 0.334 0.750
Nb6 0.833 0.334 0.250
Ru1 0.333 0.334 0.000
Ru2 0.667 0.666 0.000

Output
E_form: -0.14 eV/atom
total DFT energy (no corrections): -132.5 eV/cell

=====

Record 6
Computed, not measured: an optimized crystal structure of TmScCu3 at the GGA-PBE level of DFT.

Cell lengths 3.375, 4.256, 12.507 Å; angles 90.00, 97.75, 90.00 degrees
Sites, in units of the cell vectors:
Tm1 0.925 0.750 0.850
Tm2 0.075 0.250 0.150
Cu1 0.476 0.250 0.952
Cu2 0.524 0.750 0.048
Cu3 0.323 0.750 0.645
Cu4 0.622 0.750 0.244
Cu5 0.677 0.250 0.355
Cu6 0.378 0.250 0.756
Sc1 0.792 0.250 0.584
Sc2 0.208 0.750 0.416

Output
E_form: -0.25 eV/atom
total DFT energy (no corrections): -48.7 eV/cell